Density functional theory data (PBE) for a relaxed Si2Ag2S5 crystal.

Spin magnetization, Bohr magnetons per cell: 0.000
Formation energy from raw total energies, eV/f.u.: -1.52
Energy, eV for the cell shown: -77.4

Lattice parameters (Å, degrees): 13.8525 4.3300 6.5292 90.00 97.19 90.00
Space group C2/m (No. 12)
Inequivalent atoms, fractional coordinates:
Si1 0.1456 0.0000 0.3990 [4 per cell]
Ag1 0.1776 0.5000 0.9358 [4 per cell]
S1 0.0000 0.0000 0.5000 [2 per cell]
S2 0.1195 0.0000 0.0743 [4 per cell]
S3 0.1823 0.5000 0.5269 [4 per cell]